Record 1
Compound: Nd2Pa3S8
Source: Alexandria
Functional: PBE
Structure: relaxed

Computed properties:
**SG**: Cmmm
**E_tot**: -93.4 eV per cell

Unit cell a=8.2540 b=8.2540 c=4.7742 alpha=90.00 beta=90.00 gamma=110.03
Positions (direct):
Nd (0.2313, 0.7687, 0.0000)
Nd (0.7687, 0.2313, 0.0000)
Pa (0.2341, 0.2341, 0.5000)
Pa (0.5000, 0.5000, 0.0000)
Pa (0.7659, 0.7659, 0.5000)
S (0.1206, 0.8794, 0.5000)
S (0.1430, 0.3790, 0.0000)
S (0.3790, 0.1430, 0.0000)
S (0.3873, 0.6127, 0.5000)
S (0.6127, 0.3873, 0.5000)
S (0.6210, 0.8570, 0.0000)
S (0.8570, 0.6210, 0.0000)
S (0.8794, 0.1206, 0.5000)



Record 2
Compound: NdPa3S6
Source: Alexandria
Functional: PBE
Structure: relaxed

Computed properties:
**SG**: P2_1/m
**E_tot**: -149.3 eV per cell

Unit cell a=11.0275 b=3.9123 c=11.4326 alpha=90.00 beta=107.04 gamma=90.00
Positions (direct):
Nd (0.0469, 0.2500, 0.1945)
Nd (0.9531, 0.7500, 0.8055)
Pa (0.1501, 0.2500, 0.5740)
Pa (0.3193, 0.7500, 0.9998)
Pa (0.4280, 0.2500, 0.3364)
Pa (0.5720, 0.7500, 0.6636)
Pa (0.6807, 0.2500, 0.0002)
Pa (0.8499, 0.7500, 0.4260)
S (0.0856, 0.7500, 0.3967)
S (0.1243, 0.2500, 0.9647)
S (0.1972, 0.7500, 0.7479)
S (0.2590, 0.7500, 0.2227)
S (0.3962, 0.2500, 0.5685)
S (0.4898, 0.2500, 0.1226)
S (0.5102, 0.7500, 0.8774)
S (0.6038, 0.7500, 0.4315)
S (0.7410, 0.2500, 0.7773)
S (0.8028, 0.2500, 0.2521)
S (0.8757, 0.7500, 0.0353)
S (0.9144, 0.2500, 0.6033)



Record 3
Compound: Nd2SmPaS4
Source: Alexandria
Functional: PBE
Structure: relaxed

Computed properties:
**SG**: P2/m
**E_tot**: -55.4 eV per cell

Unit cell a=6.9429 b=3.9901 c=6.9494 alpha=90.00 beta=109.17 gamma=90.00
Positions (direct):
Nd (0.0000, 0.0000, 0.0000)
Nd (0.5000, 0.5000, 0.0000)
Sm (0.0000, 0.5000, 0.5000)
Pa (0.5000, 0.0000, 0.5000)
S (0.2519, 0.0000, 0.7412)
S (0.2568, 0.5000, 0.2601)
S (0.7432, 0.5000, 0.7399)
S (0.7481, 0.0000, 0.2588)



Which value of E_tot does entry 3 give?
-55.4 eV per cell



Look up the E_tot of the second one.
-149.3 eV per cell



Look up the E_tot of the third one.
-55.4 eV per cell